A plane-wave DFT calculation with PBE was carried out for a relaxed CoTeHI2 crystal.

Cell and atoms, written as extended XYZ:
```
5
Lattice="5.553 0.000 0.000 0.000 5.553 0.000 0.000 0.000 4.745" Properties=species:S:1:pos:R:3 pbc="T T T"
Co 0.000 0.000 0.000
Te 0.000 0.000 2.373
H 2.776 2.776 2.373
I 0.000 2.776 0.000
I 2.776 0.000 0.000
```

Results
The calculation puts the density of states at the Fermi level at 4.31 states/eV per cell. The space group is P4/mmm, No. 123. Its crystal system is tetragonal. The energy relative to the lowest polymorph listed for this composition comes out at 0 meV per atom.